(a)
A plane-wave DFT calculation with PBE was carried out for crystalline UTcAs2 at its relaxed geometry.

Cell: 3.5239 4.4828 4.4828 Å, 90.00 90.00 90.00°
Last column: magnetic moment on the atom in μB.
Element x y z (fractional)
As  0.0000  0.0000  0.5000  -0.01
As  0.0000  0.5000  0.0000  -0.01
U  0.5000  0.5000  0.5000  0.55
Tc  0.5000  0.0000  0.0000  -0.13

Results
Its volume is 17.704 Å³ per atom.


(b)
A plane-wave DFT calculation with PBE was carried out for crystalline UTcAs2 at its relaxed geometry.

Cell: 3.7656 3.7656 6.9202 Å, 74.21 74.21 60.00°
Last column: magnetic moment on the atom in μB.
Element x y z (fractional)
U  0.6696  0.6696  0.9913  2.64
Tc  0.4966  0.4966  0.5103  0.44
As  0.0978  0.0978  0.7067  -0.02
As  0.2361  0.2361  0.2917  0.00

Results
Its volume is 20.170 Å³ per atom.


(c)
A plane-wave DFT calculation with PBE was carried out for crystalline UTcAs2 at its relaxed geometry.

Cell: 3.4702 3.4715 7.1767 Å, 104.04 103.99 90.00°
Last column: magnetic moment on the atom in μB.
Element x y z (fractional)
U  0.2213  0.8813  0.2282  2.30
Tc  0.4713  0.6305  0.7282  0.34
As  0.8472  0.5080  0.4801  -0.04
As  0.5955  0.2548  0.9763  -0.04

Results
Its volume is 20.306 Å³ per atom.


It is (a) that is the most stable of them.


(a)
A plane-wave DFT calculation with PBE was carried out for crystalline UTcAs2 at its relaxed geometry.

Cell: 2.9128 2.9128 10.0235 Å, 81.65 81.65 60.00°
Element x y z (fractional)
As  0.0833  0.0833  0.7502
As  0.9167  0.9167  0.2498
U  0.5000  0.5000  0.5000
Tc  0.0000  0.0000  0.0000

Results
Its volume is 18.152 Å³ per atom.


(b)
A plane-wave DFT calculation with PBE was carried out for crystalline UTcAs2 at its relaxed geometry.

Cell: 3.1498 3.1498 7.1410 Å, 90.00 90.00 90.00°
Last column: magnetic moment on the atom in μB.
Element x y z (fractional)
As  0.0000  0.0000  0.7915  -0.01
As  0.0000  0.0000  0.2085  -0.01
U  0.5000  0.5000  0.5000  2.71
Tc  0.5000  0.5000  0.0000  0.17

Results
Its volume is 17.711 Å³ per atom.


It is (b) that is the most stable of them.


(a)
A plane-wave DFT calculation with PBE was carried out for crystalline VTcAs2 at its relaxed geometry.

Cell: 3.0612 3.0612 6.1710 Å, 90.00 90.00 90.00°
Element x y z (fractional)
As  0.0000  0.0000  0.7463
As  0.0000  0.0000  0.2537
Tc  0.5000  0.5000  0.0000
V  0.5000  0.5000  0.5000

Results
Its volume is 14.457 Å³ per atom.


(b)
A plane-wave DFT calculation with PBE was carried out for crystalline VTcAs2 at its relaxed geometry.

Cell: 5.0020 5.0020 7.5719 Å, 70.71 70.71 90.00°
Last column: magnetic moment on the atom in μB.
Element x y z (fractional)
As  0.6380  0.1250  0.2500  -0.05
As  0.1120  0.6250  0.2500  -0.05
As  0.3750  0.3620  0.7500  -0.05
As  0.8750  0.8880  0.7500  -0.05
Tc  0.0000  0.0000  0.0000  0.28
Tc  0.7500  0.2500  0.5000  0.28
V  0.5000  0.5000  0.0000  1.90
V  0.2500  0.7500  0.5000  1.90

Results
Its volume is 20.939 Å³ per atom.


(c)
A plane-wave DFT calculation with PBE was carried out for crystalline VTcAs2 at its relaxed geometry.

Cell: 4.3781 4.3781 4.3781 Å, 60.00 60.00 60.00°
Last column: magnetic moment on the atom in μB.
Element x y z (fractional)
As  0.2500  0.2500  0.2500  -0.06
As  0.7500  0.7500  0.7500  -0.06
Tc  0.5000  0.5000  0.5000  0.39
V  0.0000  0.0000  0.0000  1.74

Results
Its volume is 14.834 Å³ per atom.


It is (c) that is the most stable of them.